Record 1
A plane-wave DFT calculation with PBE was carried out for crystalline FeOs at its relaxed geometry.

Summary:
Its density of states at the Fermi level is 0.711 states/eV/atom. Its crystal system is orthorhombic. For the volume, the calculation gives 12.5 Å³/atom. The total energy is -157.43 eV per cell. As for the symmetry: No. 62.

Cell: 9.1670 4.1926 5.2242 Å, 90.00 90.00 90.00°
Closest atoms and distances in Å follow each position.
Fractional coordinates of all 16 atoms:
1 Fe 0.0833 0.2500 0.2493  4 Fe 2.57-2.66, 8 Os 2.57-2.65
2 Fe 0.1654 0.7500 0.4947  4 Fe 2.57-2.66, 8 Os 2.57-2.68
3 Fe 0.3346 0.2500 0.9947  4 Fe 2.57-2.66, 8 Os 2.57-2.68
4 Fe 0.4167 0.7500 0.7493  4 Fe 2.57-2.66, 8 Os 2.57-2.65
5 Fe 0.5833 0.2500 0.2507  4 Fe 2.57-2.66, 8 Os 2.57-2.65
6 Fe 0.6654 0.7500 0.0053  4 Fe 2.57-2.66, 8 Os 2.57-2.68
7 Fe 0.8346 0.2500 0.5053  4 Fe 2.57-2.66, 8 Os 2.57-2.68
8 Fe 0.9167 0.7500 0.7507  4 Fe 2.57-2.66, 8 Os 2.57-2.65
9 Os 0.0807 0.2500 0.7412  8 Fe 2.57-2.68, 4 Os 2.61-2.66
10 Os 0.1683 0.7500 0.9961  8 Fe 2.59-2.64, 4 Os 2.61-2.66
11 Os 0.3317 0.2500 0.4961  8 Fe 2.59-2.64, 4 Os 2.61-2.66
12 Os 0.4193 0.7500 0.2412  8 Fe 2.57-2.68, 4 Os 2.61-2.66
13 Os 0.5807 0.2500 0.7588  8 Fe 2.57-2.68, 4 Os 2.61-2.66
14 Os 0.6683 0.7500 0.5039  8 Fe 2.59-2.64, 4 Os 2.61-2.66
15 Os 0.8317 0.2500 0.0039  8 Fe 2.59-2.64, 4 Os 2.61-2.66
16 Os 0.9193 0.7500 0.2588  8 Fe 2.57-2.68, 4 Os 2.61-2.66


Record 2
A plane-wave DFT calculation with PBE was carried out for crystalline MgPbBr2 at its relaxed geometry.

Summary:
The value obtained for the raw formation energy is -0.38 eV/atom. Its density of states at the Fermi level is 0.667 states/eV/atom. As for the energy above the lowest structure with this stoichiometry: 0.537 eV/atom. Its crystal system is tetragonal. For the volume, the calculation gives 30.4 Å³/atom. The total energy is -10.16 eV per cell. As for the symmetry: No. 119.

Cell: 7.1184 7.1184 7.1184 Å, 144.39 144.39 51.24°
Closest atoms and distances in Å follow each position.
Fractional coordinates of all 4 atoms:
1 Mg 0.0000 0.0000 0.0000  4 Br 3.08
2 Pb 0.2500 0.7500 0.5000  4 Br 3.08
3 Br 0.5000 0.5000 0.0000  4 Mg 3.08
4 Br 0.7500 0.2500 0.5000  4 Pb 3.08


Record 3
A plane-wave DFT calculation with PBE was carried out for crystalline LiLaPrGe at its relaxed geometry.

Summary:
Its density of states at the Fermi level is 0.783 states/eV/atom. Its crystal system is cubic. For the volume, the calculation gives 26.1 Å³/atom. The total energy is -17.91 eV per cell. As for the symmetry: No. 216.

Cell: 5.2822 5.2822 5.2822 Å, 60.00 60.00 60.00°
Closest atoms and distances in Å follow each position.
Fractional coordinates of all 4 atoms:
1 Li 0.0000 0.0000 0.0000  4 La 3.23, 4 Pr 3.23
2 La 0.2500 0.2500 0.2500  4 Ge 3.23, 4 Li 3.23
3 Pr 0.7500 0.7500 0.7500  4 Li 3.23, 4 Ge 3.23
4 Ge 0.5000 0.5000 0.5000  4 Pr 3.23, 4 La 3.23


Record 4
A plane-wave DFT calculation with PBE was carried out for crystalline FeIr2W at its relaxed geometry.

Summary:
Its density of states at the Fermi level is 1.006 states/eV/atom. As for the energy above the lowest structure with this stoichiometry: 0.075 eV/atom. Its crystal system is tetragonal. For the volume, the calculation gives 14.5 Å³/atom. The total energy is -39.78 eV per cell. As for the symmetry: No. 123.

Cell: 2.7928 2.7928 7.4111 Å, 90.00 90.00 90.00°
Closest atoms and distances in Å follow each position.
Fractional coordinates of all 4 atoms:
1 Fe 0.0000 0.0000 0.0000  8 Ir 2.68, 4 Fe 2.79
2 Ir 0.5000 0.5000 0.2443  4 Fe 2.68, 4 W 2.74, 4 Ir 2.79
3 Ir 0.5000 0.5000 0.7557  4 Fe 2.68, 4 W 2.74, 4 Ir 2.79
4 W 0.0000 0.0000 0.5000  8 Ir 2.74, 4 W 2.79


What is the volume in the first record?
12.5 Å³/atom


Which value of volume does entry 2 give?
30.4 Å³/atom


Which value of volume does entry 1 give?
12.5 Å³/atom